DFT (PBE) results for crystalline AlIn2PbS6 at its relaxed geometry.

abc: 7.5363 9.2290 9.2290
angles: 89.20 71.57 71.57
Last column: nearest neighbours and their distance in Å.
Positions (direct):
Al 0.2500 0.1715 0.8285  4 S 2.24-2.31
Al 0.7500 0.8285 0.1715  4 S 2.24-2.31
In 0.3794 0.7591 0.5942  4 S 2.46-2.56
In 0.1206 0.4058 0.2409  4 S 2.46-2.56
In 0.6206 0.2409 0.4058  4 S 2.46-2.56
In 0.8794 0.5942 0.7591  4 S 2.46-2.56
Pb 0.2500 0.8763 0.1237  6 S 2.98-3.01
Pb 0.7500 0.1237 0.8763  6 S 2.98-3.01
S 0.1750 0.9478 0.8255  1 Al 2.31, 1 In 2.51
S 0.3250 0.1745 0.0522  1 Al 2.31, 1 In 2.51
S 0.8250 0.0522 0.1745  1 Al 2.31, 1 In 2.51
S 0.6750 0.8255 0.9478  1 Al 2.31, 1 In 2.51
S 0.4543 0.8830 0.3553  1 Al 2.24, 1 In 2.46
S 0.0457 0.6447 0.1170  1 Al 2.24, 1 In 2.46
S 0.5457 0.1170 0.6447  1 Al 2.24, 1 In 2.46
S 0.9543 0.3553 0.8830  1 Al 2.24, 1 In 2.46
S 0.1085 0.6769 0.5441  2 In 2.47-2.56, 1 S 2.74
S 0.3915 0.4559 0.3231  2 In 2.47-2.56, 1 S 2.74
S 0.8915 0.3231 0.4559  2 In 2.47-2.56, 1 S 2.74
S 0.6085 0.5441 0.6769  2 In 2.47-2.56, 1 S 2.74

## Properties
Symmetry ... C2/c, No. 15
Energy ... -4.2890 eV/atom
Uncorrected formation energy ... -0.520 eV per atom
Volume ... 28.76 Å³/atom

=====

DFT (PBE) results for crystalline SrLiTc2 at its relaxed geometry.

abc: 4.7999 4.7999 4.7999
angles: 60.00 60.00 60.00
Last column: nearest neighbours and their distance in Å.
Positions (direct):
Sr 0.5000 0.5000 0.5000  8 Tc 2.94
Tc 0.2500 0.2500 0.2500  4 Li 2.94, 4 Sr 2.94
Tc 0.7500 0.7500 0.7500  4 Sr 2.94, 4 Li 2.94
Li 0.0000 0.0000 0.0000  8 Tc 2.94

## Properties
Symmetry ... Fm-3m, No. 225
E_form ... 1.31 eV per atom
N(E_F) ... 4.9 states/eV/cell
Energy ... -4.7693 eV/atom
Energy above the most stable polymorph in this dataset ... 0.946 eV/atom
Volume ... 19.55 Å³/atom

=====

DFT (PBE) results for crystalline Sm2NiC4 at its relaxed geometry.

abc: 5.1925 6.7825 6.7825
angles: 66.88 67.49 67.49
Last column: nearest neighbours and their distance in Å.
Positions (direct):
Ni 0.2500 0.0000 0.0000  4 C 2.00
Ni 0.7500 0.0000 0.0000  4 C 2.00
C 0.1243 0.2166 0.5349  1 C 1.34
C 0.8757 0.7834 0.4651  1 C 1.34
C 0.6243 0.5349 0.2166  1 C 1.34
C 0.3757 0.4651 0.7834  1 C 1.34
C 0.0834 0.0867 0.7465  1 C 1.34
C 0.9166 0.9133 0.2535  1 C 1.34
C 0.5834 0.7465 0.0867  1 C 1.34
C 0.4166 0.2535 0.9133  1 C 1.34
Sm 0.3567 0.8121 0.4744  7 C 2.46-2.75
Sm 0.6433 0.1879 0.5256  7 C 2.46-2.75
Sm 0.8567 0.4744 0.8121  7 C 2.46-2.75
Sm 0.1433 0.5256 0.1879  7 C 2.46-2.75

## Properties
Symmetry ... Ibam, No. 72
E_form ... -0.20 eV per atom
N(E_F) ... 3.2 states/eV/cell
Energy ... -7.6408 eV/atom
Volume ... 13.94 Å³/atom